KBa2SrIn: optimized geometry, PBE-GGA.

abc: 6.886 6.886 6.632
angles: 90.00 90.00 90.00
Sites, in units of the cell vectors:
K (0.500, 0.500, 0.500)
Sr (0.000, 0.000, 0.500)
Ba (0.000, 0.500, 0.000)
Ba (0.500, 0.000, 0.000)
In (0.000, 0.000, 0.000)

Properties
V in A^3/atom: 62.889
Formation energy from the elements in meV/atom: -46.4
N(E_F) in states/eV per cell: 5.48